No. 1
This record from Alexandria describes a relaxed Tl3Re crystal. The functional is PBE.

Properties
DFT formation energy (kJ per mole of atoms): 111.1
E above lowest polymorph (eV/atom): 0.619

Cell lengths 5.175, 5.175, 5.175 Å; angles 60.00, 60.00, 60.00 degrees
Element x y z (fractional)
1 Tl 0.000 0.000 0.000
2 Tl 0.250 0.250 0.250
3 Tl 0.750 0.750 0.750
4 Re 0.500 0.500 0.500



No. 2
This record from Alexandria describes a relaxed KLiMg6O7 crystal. The functional is PBE.

Properties
Formation energy without anion corrections (eV/atom): -1.97
E above lowest polymorph (eV/atom): 0.079

Cell lengths 4.454, 4.454, 8.765 Å; angles 90.00, 90.00, 90.00 degrees
Element x y z (fractional)
1 K 0.000 0.000 0.000
2 Li 0.500 0.500 0.989
3 Mg 0.000 0.000 0.502
4 Mg 0.000 0.500 0.251
5 Mg 0.000 0.500 0.767
6 Mg 0.500 0.000 0.251
7 Mg 0.500 0.000 0.767
8 Mg 0.500 0.500 0.527
9 O 0.000 0.000 0.277
10 O 0.000 0.000 0.726
11 O 0.000 0.500 0.024
12 O 0.000 0.500 0.491
13 O 0.500 0.000 0.024
14 O 0.500 0.000 0.491
15 O 0.500 0.500 0.754



No. 3
This record from Alexandria describes a relaxed Rb5HgP2 crystal. The functional is PBE.

Properties
DFT formation energy (kJ per mole of atoms): -19.2

Cell lengths 6.145, 6.145, 20.585 Å; angles 90.00, 90.00, 120.00 degrees
Element x y z (fractional)
1 Rb 0.000 0.000 0.135
2 Rb 0.000 0.000 0.365
3 Rb 0.000 0.000 0.635
4 Rb 0.000 0.000 0.865
5 Rb 0.333 0.667 0.043
6 Rb 0.333 0.667 0.250
7 Rb 0.333 0.667 0.457
8 Rb 0.667 0.333 0.543
9 Rb 0.667 0.333 0.750
10 Rb 0.667 0.333 0.957
11 Hg 0.333 0.667 0.750
12 Hg 0.667 0.333 0.250
13 P 0.333 0.667 0.631
14 P 0.333 0.667 0.869
15 P 0.667 0.333 0.131
16 P 0.667 0.333 0.369



No. 4
This record from Alexandria describes a relaxed AcLa2Tb5Sm crystal. The functional is PBE.

Properties
DFT formation energy (kJ per mole of atoms): 23.0

Cell lengths 10.160, 10.160, 10.160 Å; angles 128.43, 128.43, 75.93 degrees
Element x y z (fractional)
1 Ac 0.250 0.250 0.000
2 Ac 0.750 0.750 0.000
3 La 0.118 0.618 0.735
4 La 0.382 0.118 0.500
5 La 0.618 0.882 0.500
6 La 0.882 0.382 0.265
7 Tb 0.000 0.000 0.000
8 Tb 0.075 0.154 0.500
9 Tb 0.154 0.654 0.079
10 Tb 0.346 0.425 0.500
11 Tb 0.425 0.925 0.079
12 Tb 0.500 0.500 0.000
13 Tb 0.575 0.075 0.921
14 Tb 0.654 0.575 0.500
15 Tb 0.846 0.346 0.921
16 Tb 0.925 0.846 0.500
17 Sm 0.250 0.750 0.500
18 Sm 0.750 0.250 0.500